Crystalline PrTh2Ge at its relaxed geometry, computed with PBE.

Total magnetization, μB per formula unit: 0.69
E_form, eV per atom: 0.05
DFT total energy, eV per cell: -24.0
Polymorph energy (0 for the lowest one), kJ/mol of atoms: 28.5

```
PrTh2Ge
1.0
1.933 1.116 10.557
-1.933 1.116 10.557
0.000 -2.232 10.557
Pr Th Ge
1 2 1
Cartesian
0.000 0.000 0.000
0.000 0.000 3.415
0.000 0.000 28.258
0.000 0.000 15.836
```